DFT (meta-GGA SCAN) results for a PBEsol-optimized structure of MnCu.

formation enthalpy at 0 K: 70 kJ/mol of formula units
total DFT energy (no corrections): -65.45 eV for the cell shown
spin magnetization: 0.0 μB per formula unit

a b c (Å): 2.4085 3.9704 4.5214
angles (deg): 90.00 90.00 90.00
Last column: nearest neighbours and their distance in Å.
Space group Pmmn (No. 59, origin choice 2)
Inequivalent atoms, fractional coordinates:
Mn: 0.2500 0.2500 0.0777 (multiplicity 2)  6 Mn 2.41-2.43, 6 Cu 2.51-2.58
Cu: 0.2500 0.7500 0.4168 (multiplicity 2)  6 Cu 2.41-2.44, 6 Mn 2.51-2.58

DFT (meta-GGA SCAN) results for a PBEsol-optimized structure of HfCr2RhBr.

total DFT energy (no corrections): -144.92 eV for the cell shown
spin magnetization: 6.3 μB per formula unit

a b c (Å): 4.7413 4.7413 4.8519
angles (deg): 90.00 90.00 90.00
Last column: nearest neighbours and their distance in Å.
Space group P4/mmm (No. 123)
Inequivalent atoms, fractional coordinates:
Hf: 0.0000 0.0000 0.0000 (multiplicity 1)  4 Cr 2.37, 2 Br 2.43
Cr: 0.0000 0.5000 0.0000 (multiplicity 2)  2 Hf 2.37
Rh: 0.5000 0.5000 0.5000 (multiplicity 1)  4 Br 3.35, 8 Cr 3.39
Br: 0.0000 0.0000 0.5000 (multiplicity 1)  2 Hf 2.43

DFT (meta-GGA SCAN) results for a PBEsol-optimized structure of SiRhW2.

total DFT energy (no corrections): -367.00 eV for the cell shown
spin magnetization: 0.0 μB per formula unit

a b c (Å): 9.6511 2.7356 4.5830
angles (deg): 90.00 110.14 90.00
Last column: nearest neighbours and their distance in Å.
Space group Cm (No. 8)
Inequivalent atoms, fractional coordinates:
Si: 0.0000 0.0000 0.0000 (multiplicity 2)  2 Rh 2.43, 4 W 2.58-2.66
Rh: 0.2054 0.5000 0.3123 (multiplicity 2)  2 Si 2.43, 5 W 2.69-2.71
W: 0.2590 0.0000 0.8463 (multiplicity 2)  3 Si 2.58-2.82, 4 Rh 2.69-2.73, 2 W 2.74
W: 0.4627 0.0000 0.4811 (multiplicity 2)  4 Si 2.66-2.72, 3 Rh 2.70-2.71, 3 W 2.74-2.90

DFT (meta-GGA SCAN) results for a PBEsol-optimized structure of PPt2Se.

polymorph energy (0 for the lowest one): 86 meV/atom
total DFT energy (no corrections): -171.37 eV for the cell shown
spin magnetization: 0.0 μB per formula unit

a b c (Å): 2.6970 3.5259 7.0051
angles (deg): 90.00 90.00 90.00
Last column: nearest neighbours and their distance in Å.
Space group Pmmm (No. 47)
Inequivalent atoms, fractional coordinates:
P: 0.0000 0.0000 0.0000 (multiplicity 1)  4 Pt 2.37
Pt: 0.0000 0.5000 0.2253 (multiplicity 2)  2 P 2.37, 2 Se 2.61
Se: 0.0000 0.0000 0.5000 (multiplicity 1)  4 Pt 2.61, 2 Se 2.70

DFT (meta-GGA SCAN) results for a PBEsol-optimized structure of Re3RuS.

total DFT energy (no corrections): -244.88 eV for the cell shown
spin magnetization: 1.9 μB per formula unit

a b c (Å): 4.6074 4.6074 4.6074
angles (deg): 90.00 90.00 90.00
Last column: nearest neighbours and their distance in Å.
Space group Pm-3m (No. 221)
Inequivalent atoms, fractional coordinates:
Re: 0.0000 0.0000 0.5000 (multiplicity 3)  2 Ru 2.30
Ru: 0.0000 0.0000 0.0000 (multiplicity 1)  6 Re 2.30
S: 0.5000 0.5000 0.5000 (multiplicity 1)  12 Re 3.26

DFT (meta-GGA SCAN) results for a PBEsol-optimized structure of GeSbAs2N.

total DFT energy (no corrections): -102.44 eV for the cell shown
spin magnetization: 0.0 μB per formula unit

a b c (Å): 4.3927 4.3927 4.5302
angles (deg): 90.00 90.00 90.00
Last column: nearest neighbours and their distance in Å.
Space group P4/mmm (No. 123)
Inequivalent atoms, fractional coordinates:
Ge: 0.0000 0.0000 0.0000 (multiplicity 1)  2 N 2.27
Sb: 0.5000 0.5000 0.0000 (multiplicity 1)  4 Ge 3.11, 8 As 3.16
As: 0.0000 0.5000 0.5000 (multiplicity 2)  2 N 2.20
N: 0.0000 0.0000 0.5000 (multiplicity 1)  4 As 2.20, 2 Ge 2.27

DFT (meta-GGA SCAN) results for a PBEsol-optimized structure of Be2CrTe.

total DFT energy (no corrections): -188.51 eV for the cell shown
spin magnetization: 0.0 μB per formula unit

a b c (Å): 3.5094 3.5094 18.4829
angles (deg): 90.00 90.00 120.00
Last column: nearest neighbours and their distance in Å.
Space group R3m (No. 160, hexagonal axes)
Inequivalent atoms, fractional coordinates:
Be: 0.0000 0.0000 0.0000 (multiplicity 3)  3 Be 2.04, 3 Cr 2.26
Be: 0.0000 0.0000 0.3450 (multiplicity 3)  3 Be 2.04
Cr: 0.0000 0.0000 0.6129 (multiplicity 3)  6 Be 2.26-2.36
Te: 0.0000 0.0000 0.8561 (multiplicity 3)  3 Cr 2.62, 1 Be 2.66

DFT (meta-GGA SCAN) results for a PBEsol-optimized structure of Ni3Ir.

formation enthalpy at 0 K: -6 kJ/mol of formula units
total DFT energy (no corrections): -239.36 eV for the cell shown
spin magnetization: 2.4 μB per formula unit

a b c (Å): 5.0498 7.0932 2.5621
angles (deg): 90.00 90.00 90.00
Last column: nearest neighbours and their distance in Å.
Space group Cmmm (No. 65)
Inequivalent atoms, fractional coordinates:
Ni: 0.0000 0.0000 0.0000 (multiplicity 2)  2 Ir 2.52, 10 Ni 2.53-2.56
Ni: 0.2500 0.2500 0.5000 (multiplicity 4)  8 Ni 2.52-2.56, 4 Ir 2.53
Ir: 0.0000 0.5000 0.0000 (multiplicity 2)  10 Ni 2.52-2.53, 2 Ir 2.56

DFT (meta-GGA SCAN) results for a PBEsol-optimized structure of Ca3CdTc.

formation enthalpy at 0 K: 421 kJ/mol of formula units
total DFT energy (no corrections): -90.10 eV for the cell shown
spin magnetization: 3.7 μB per formula unit

a b c (Å): 5.6380 5.6380 5.6380
angles (deg): 90.00 90.00 90.00
Last column: nearest neighbours and their distance in Å.
Space group Pm-3m (No. 221)
Inequivalent atoms, fractional coordinates:
Ca: 0.0000 0.0000 0.5000 (multiplicity 3)  2 Cd 2.82
Cd: 0.0000 0.0000 0.0000 (multiplicity 1)  6 Ca 2.82
Tc: 0.5000 0.5000 0.5000 (multiplicity 1)  12 Ca 3.99

DFT (meta-GGA SCAN) results for a PBEsol-optimized structure of Li2YMn.

polymorph energy (0 for the lowest one): 11 meV/atom
formation enthalpy at 0 K: 67 kJ/mol of formula units
total DFT energy (no corrections): -50.18 eV for the cell shown
spin magnetization: 3.5 μB per formula unit

a b c (Å): 3.0822 5.1220 4.9576
angles (deg): 90.00 95.07 90.00
Last column: nearest neighbours and their distance in Å.
Space group P2/m (No. 10)
Inequivalent atoms, fractional coordinates:
Li: 0.2142 0.0000 0.2819 (multiplicity 2)  2 Li 2.63-2.67, 2 Mn 2.88
Y: 0.5000 0.5000 0.0000 (multiplicity 1)  4 Mn 2.80-3.03, 2 Y 3.08, 4 Li 3.08
Mn: 0.0000 0.5000 0.5000 (multiplicity 1)  4 Y 2.80-3.03, 4 Li 2.88, 2 Mn 3.08

DFT (meta-GGA SCAN) results for a PBEsol-optimized structure of LiNiTe2Br.

total DFT energy (no corrections): -110.03 eV for the cell shown
spin magnetization: 1.3 μB per formula unit

a b c (Å): 5.7460 5.7460 4.2929
angles (deg): 90.00 90.00 90.00
Last column: nearest neighbours and their distance in Å.
Space group P4/mmm (No. 123)
Inequivalent atoms, fractional coordinates:
Li: 0.0000 0.0000 0.0000 (multiplicity 1)  8 Te 3.59
Ni: 0.5000 0.5000 0.0000 (multiplicity 1)  2 Br 2.15
Te: 0.0000 0.5000 0.5000 (multiplicity 2)  2 Br 2.87
Br: 0.5000 0.5000 0.5000 (multiplicity 1)  2 Ni 2.15

DFT (meta-GGA SCAN) results for a PBEsol-optimized structure of K3IrF6.

total DFT energy (no corrections): -566.16 eV for the cell shown
spin magnetization: 0.2 μB per formula unit

a b c (Å): 8.8640 8.8640 8.8640
angles (deg): 90.00 90.00 90.00
Last column: nearest neighbours and their distance in Å.
Space group Fm-3m (No. 225)
Inequivalent atoms, fractional coordinates:
K: 0.0000 0.0000 0.0000 (multiplicity 4)  6 F 2.43
K: 0.2500 0.2500 0.2500 (multiplicity 8)  12 F 3.14
Ir: 0.0000 0.0000 0.5000 (multiplicity 4)  6 F 2.00
F: 0.0000 0.0000 0.2739 (multiplicity 24)  1 Ir 2.00